(1)
Compound: Al2TlReO
Source: Alexandria via LeMat-Bulk
Functional: SCAN
Structure: single point on PBEsol structure

Summary:
E_form (uncorrected) ... 2.09 eV/atom
Density ... 5.736 Mg/m³

a = 5.053 Å, b = 5.053 Å, c = 5.222 Å
α = 90.00°, β = 90.00°, γ = 90.00°
Sites, in units of the cell vectors:
Al  0.500  0.000  0.000
O  0.500  0.500  0.500
Al  0.000  0.500  0.000
Tl  0.000  0.000  0.000
Re  0.000  0.000  0.500

=====

(2)
Compound: AlReW2O
Source: Alexandria via LeMat-Bulk
Functional: SCAN
Structure: single point on PBEsol structure

Summary:
E_form (uncorrected) ... 2.04 eV/atom
Density ... 9.534 Mg/m³

a = 4.719 Å, b = 4.694 Å, c = 4.694 Å
α = 90.00°, β = 90.00°, γ = 90.00°
Sites, in units of the cell vectors:
W  0.000  0.000  0.500
Al  0.500  0.000  0.000
W  0.000  0.500  0.000
O  0.500  0.500  0.500
Re  0.000  0.000  0.000

=====

(3)
Compound: AlRhO2
Source: Alexandria via LeMat-Bulk
Functional: SCAN
Structure: single point on PBEsol structure

Summary:
E_form (uncorrected) ... -2.21 eV/atom
Density ... 6.728 Mg/m³

a = 2.772 Å, b = 2.772 Å, c = 6.212 Å
α = 77.11°, β = 77.11°, γ = 60.00°
Sites, in units of the cell vectors:
Al  0.500  0.500  0.500
O  0.112  0.112  0.664
Rh  0.000  0.000  0.000
O  0.888  0.888  0.336

=====

(4)
Compound: AlRh2O
Source: Alexandria via LeMat-Bulk
Functional: SCAN
Structure: single point on PBEsol structure

Summary:
E_form (uncorrected) ... -0.07 eV/atom
Density ... 8.580 Mg/m³

a = 4.084 Å, b = 4.084 Å, c = 4.084 Å
α = 60.00°, β = 60.00°, γ = 60.00°
Sites, in units of the cell vectors:
O  0.000  0.000  0.000
Al  0.500  0.500  0.500
Rh  0.250  0.250  0.250
Rh  0.750  0.750  0.750

=====

(5)
Compound: AlRhO3
Source: Alexandria via LeMat-Bulk
Functional: SCAN
Structure: single point on PBEsol structure

Summary:
E_form (uncorrected) ... -2.16 eV/atom
Density ... 6.005 Mg/m³

a = 3.120 Å, b = 3.120 Å, c = 11.669 Å
α = 90.00°, β = 90.00°, γ = 120.00°
Sites, in units of the cell vectors:
O  0.667  0.333  0.916
Rh  0.000  0.000  0.500
O  0.000  0.000  0.250
O  0.000  0.000  0.750
O  0.333  0.667  0.416
O  0.333  0.667  0.084
Al  0.667  0.333  0.750
Al  0.333  0.667  0.250
O  0.667  0.333  0.584
Rh  0.000  0.000  0.000

=====

(6)
Compound: Al2RhO2
Source: Alexandria via LeMat-Bulk
Functional: SCAN
Structure: single point on PBEsol structure

Summary:
E_form (uncorrected) ... -1.28 eV/atom
Density ... 4.980 Mg/m³

a = 2.965 Å, b = 6.517 Å, c = 6.517 Å
α = 90.00°, β = 90.00°, γ = 90.00°
Sites, in units of the cell vectors:
Rh  0.000  0.500  0.500
O  0.000  0.361  0.861
O  0.000  0.139  0.361
Rh  0.000  0.000  0.000
O  0.000  0.861  0.639
O  0.000  0.639  0.139
Al  0.500  0.260  0.760
Al  0.500  0.740  0.240
Al  0.500  0.240  0.260
Al  0.500  0.760  0.740

=====

(7)
Compound: AlRu3O
Source: Alexandria via LeMat-Bulk
Functional: SCAN
Structure: single point on PBEsol structure

Summary:
E_form (uncorrected) ... -0.06 eV/atom
Density ... 9.102 Mg/m³

a = 3.982 Å, b = 3.982 Å, c = 3.982 Å
α = 90.00°, β = 90.00°, γ = 90.00°
Sites, in units of the cell vectors:
Ru  0.500  0.000  0.000
Al  0.500  0.500  0.500
Ru  0.000  0.500  0.000
Ru  0.000  0.000  0.500
O  0.000  0.000  0.000

=====

(8)
Compound: AlSn2RuO
Source: Alexandria via LeMat-Bulk
Functional: SCAN
Structure: single point on PBEsol structure

Summary:
E_form (uncorrected) ... 0.11 eV/atom
Density ... 5.635 Mg/m³

a = 4.583 Å, b = 4.953 Å, c = 4.953 Å
α = 90.00°, β = 90.00°, γ = 90.00°
Sites, in units of the cell vectors:
Ru  0.000  0.000  0.000
Sn  0.000  0.000  0.500
O  0.500  0.500  0.500
Al  0.500  0.000  0.000
Sn  0.000  0.500  0.000

=====

(9)
Compound: Al5Sb3O16
Source: Alexandria via LeMat-Bulk
Functional: SCAN
Structure: single point on PBEsol structure

Summary:
E_form (uncorrected) ... -2.34 eV/atom
Density ... 5.151 Mg/m³

a = 4.472 Å, b = 7.459 Å, c = 7.459 Å
α = 101.55°, β = 90.76°, γ = 90.76°
Sites, in units of the cell vectors:
Al  0.997  0.387  0.135
O  0.192  0.351  0.351
O  0.754  0.789  0.022
O  0.208  0.591  0.083
Al  0.000  0.000  0.000
O  0.792  0.917  0.409
O  0.709  0.540  0.275
Sb  0.500  0.230  0.770
O  0.792  0.409  0.917
O  0.291  0.725  0.460
O  0.246  0.978  0.211
O  0.188  0.831  0.831
O  0.246  0.211  0.978
O  0.291  0.460  0.725
Al  0.003  0.613  0.865
O  0.208  0.083  0.591
Al  0.003  0.865  0.613
Sb  0.500  0.770  0.230
Sb  0.500  0.500  0.500
O  0.812  0.169  0.169
O  0.709  0.275  0.540
Al  0.997  0.135  0.387
O  0.808  0.649  0.649
O  0.754  0.022  0.789

=====

(10)
Compound: AlSbO2
Source: Alexandria via LeMat-Bulk
Functional: SCAN
Structure: single point on PBEsol structure

Summary:
E_form (uncorrected) ... -0.25 eV/atom
Density ... 5.891 Mg/m³

a = 4.161 Å, b = 4.161 Å, c = 4.161 Å
α = 60.00°, β = 60.00°, γ = 60.00°
Sites, in units of the cell vectors:
O  0.250  0.250  0.250
Al  0.000  0.000  0.000
Sb  0.500  0.500  0.500
O  0.750  0.750  0.750

=====

(11)
Compound: Al2SbO
Source: Alexandria via LeMat-Bulk
Functional: SCAN
Structure: single point on PBEsol structure

Summary:
E_form (uncorrected) ... 0.09 eV/atom
Density ... 4.947 Mg/m³

a = 4.498 Å, b = 4.498 Å, c = 4.498 Å
α = 60.00°, β = 60.00°, γ = 60.00°
Sites, in units of the cell vectors:
Al  0.750  0.750  0.750
Al  0.250  0.250  0.250
O  0.000  0.000  0.000
Sb  0.500  0.500  0.500

=====

(12)
Compound: AlSbO3
Source: Alexandria via LeMat-Bulk
Functional: SCAN
Structure: single point on PBEsol structure

Summary:
E_form (uncorrected) ... -2.28 eV/atom
Density ... 4.332 Mg/m³

a = 5.081 Å, b = 5.400 Å, c = 10.995 Å
α = 90.00°, β = 90.00°, γ = 90.00°
Sites, in units of the cell vectors:
O  0.162  0.159  0.195
O  0.338  0.658  0.805
O  0.838  0.841  0.695
O  0.497  0.161  0.834
Sb  0.996  0.069  0.554
O  0.503  0.839  0.334
O  0.996  0.338  0.666
O  0.004  0.662  0.166
Sb  0.004  0.931  0.054
Al  0.005  0.585  0.764
Al  0.995  0.415  0.264
Al  0.505  0.915  0.736
Sb  0.504  0.570  0.446
Al  0.495  0.085  0.236
O  0.649  0.057  0.092
O  0.149  0.444  0.408
O  0.351  0.943  0.592
Sb  0.496  0.430  0.946
O  0.662  0.342  0.305
O  0.851  0.556  0.908